# GGA-PBE Hg3WI, optimized geometry
# - total magnetization (μB/f.u.) = 3.6
# - final energy (eV/atom) = -2.217
# - energy above the most stable polymorph in this dataset (meV per atom) = 0
data_Hg3WI
_chemical_formula_sum 'Hg3 W1 I1'
_space_group_name_H-M_alt 'P m -3 m'
_space_group_IT_number 221
_space_group_name_Hall '-P 4 2 3'
_cell_length_a 5.535
_cell_length_b 5.535
_cell_length_c 5.535
_cell_angle_alpha 90.00
_cell_angle_beta 90.00
_cell_angle_gamma 90.00
loop_
_atom_site_label
_atom_site_fract_x
_atom_site_fract_y
_atom_site_fract_z
Hg1 0.000 0.000 0.500
W1 0.000 0.000 0.000
I1 0.500 0.500 0.500